[1]
NiGeIN2 GGA-PBEsol optimized geometry; symmetry = P4/mmm; total magnetic moment = 0.58 μB/atom; DFT total energy = -4.63 eV/atom; D(E_F) = 2.7 states/eV per cell
1.0
3.896 0.000 0.000
0.000 3.896 0.000
0.000 0.000 5.189
Ni Ge I N
1 1 1 2
Cartesian
0.000 0.000 0.000
1.948 1.948 2.594
0.000 0.000 2.594
0.000 1.948 0.000
1.948 0.000 0.000

***

[2]
ReGeI2N GGA-PBEsol optimized geometry; symmetry = P4/mmm; total magnetic moment = 0.75 μB/atom; DFT total energy = -4.51 eV/atom; D(E_F) = 3.5 states/eV per cell
1.0
5.696 0.000 0.000
0.000 5.696 0.000
0.000 0.000 3.456
Re Ge I N
1 1 2 1
Cartesian
0.000 0.000 0.000
2.848 2.848 1.728
0.000 2.848 1.728
2.848 0.000 1.728
2.848 2.848 0.000

***

[3]
GeSeI2N GGA-PBEsol optimized geometry; symmetry = P4/mmm; total magnetic moment = 0.00 μB/atom; DFT total energy = -3.35 eV/atom; D(E_F) = 2.4 states/eV per cell
1.0
5.881 0.000 0.000
0.000 5.881 0.000
0.000 0.000 3.663
Ge Se I N
1 1 2 1
Cartesian
0.000 0.000 0.000
2.941 2.941 1.832
0.000 2.941 1.832
2.941 0.000 1.832
2.941 2.941 0.000